An optimized crystal structure of ScOF2, computed with PBE.

a = 4.2907 Å, b = 4.2907 Å, c = 4.2907 Å
α = 50.68°, β = 50.68°, γ = 50.68°
Fractional positions:
Sc 0.0000 0.0000 0.0000
O 0.5000 0.5000 0.5000
F 0.2892 0.2892 0.2892
F 0.7108 0.7108 0.7108

Properties
space group: R-3m, No. 166
uncorrected formation energy: -9.51 eV per formula unit

An optimized crystal structure of Ti2TlAu, computed with PBE.

a = 3.0140 Å, b = 3.0140 Å, c = 8.1479 Å
α = 90.00°, β = 90.00°, γ = 90.00°
Fractional positions:
Ti 0.0000 0.0000 0.2321
Ti 0.0000 0.0000 0.7679
Tl 0.5000 0.5000 0.5000
Au 0.5000 0.5000 0.0000

Properties
formation energy from the elements: -0.1079 eV/atom
space group: P4/mmm, No. 123